(1)
The following is a DFT calculation (GGA-PBE) of CaTcSb after structural relaxation.

Cell and atoms, written as extended XYZ:
```
3
Lattice="-2.9897 0.2690 -1.7666 0.9376 -3.0568 1.3814 -3.2099 1.5790 5.6727" Properties=species:S:1:pos:R:3 pbc="T T T"
Sb -2.9019 -0.2388 1.4411
Ca -3.1504 1.5497 5.5675
Tc -2.4196 -0.9407 3.9516
```

Output
energy relative to the lowest polymorph listed for this composition = 331.3 meV per atom
total DFT energy (no corrections) = -5.326 eV/atom
formation energy from raw total energies = 0.17 eV per atom
total magnetic moment = 0.00 μB/f.u.

=====

(2)
The following is a DFT calculation (GGA-PBE) of BPt4 after structural relaxation.

Cell and atoms, written as extended XYZ:
```
10
Lattice="5.0593 0.0000 2.4233 2.5296 5.0903 1.2117 0.3307 0.0000 5.8025" Properties=species:S:1:pos:R:3 pbc="T T T"
Pt 1.3292 1.3729 2.1590
Pt 1.4945 1.1722 5.0602
Pt 3.8954 1.1722 3.1656
Pt 2.7093 3.9181 5.6420
Pt 4.0608 1.3729 6.0668
Pt 2.6807 3.9181 2.5837
Pt 5.3757 3.7173 6.6966
Pt 5.0735 3.7173 3.9525
B 2.6950 2.5451 4.1129
B 2.5296 0.0000 1.2117
```

Output
energy relative to the lowest polymorph listed for this composition = 0.0 meV per atom
total DFT energy (no corrections) = -6.271 eV/atom
total magnetic moment = 0.00 μB/f.u.
energy of formation from the pure elements = -2.37 kcal/mol of atoms

=====

(3)
The following is a DFT calculation (GGA-PBE) of Mg4ZnIr3 after structural relaxation.

Cell and atoms, written as extended XYZ:
```
8
Lattice="-1.9329 -4.0452 -0.1311 1.9586 -1.0397 3.8987 -4.9003 4.7782 1.1684" Properties=species:S:1:pos:R:3 pbc="T T T"
Ir -1.4650 0.5986 3.4756
Ir -3.4097 -0.9053 1.4605
Ir 0.9793 -0.5198 1.9494
Mg -1.2669 0.5797 0.7911
Mg -1.2541 -1.9628 2.6749
Mg -3.6205 1.6560 2.2612
Mg -3.6078 -0.8864 4.1450
Zn -0.9665 -2.0226 -0.0655
```

Output
total DFT energy (no corrections) = -4.585 eV/atom
total magnetic moment = 0.00 μB/f.u.
energy of formation from the pure elements = -7.06 kcal/mol of atoms

=====

(4)
The following is a DFT calculation (GGA-PBE) of Sr2Mg12Cd5 after structural relaxation.

Cell and atoms, written as extended XYZ:
```
19
Lattice="7.8007 0.1365 0.8045 0.7397 7.7667 0.8045 0.1475 0.1365 7.8406" Properties=species:S:1:pos:R:3 pbc="T T T"
Cd 7.8355 7.2510 8.5226
Cd 0.8523 0.7888 0.9271
Cd 0.0738 0.0683 3.9203
Cd 3.9003 0.0683 0.4023
Cd 0.3698 3.8834 0.4023
Mg 5.6107 5.1922 2.2443
Mg 0.3241 2.4117 5.7426
Mg 0.5631 5.4915 2.9026
Mg 1.7659 5.1922 5.7792
Mg 3.3746 6.6809 3.6705
Mg 5.5186 0.1365 2.9026
Mg 3.0771 2.8476 7.2053
Mg 2.8451 5.4915 0.8045
Mg 5.3133 1.3589 5.7792
Mg 6.9219 2.8476 3.6705
Mg 2.4296 0.1365 5.7426
Mg 5.6952 2.4117 0.8045
Sr 5.7663 5.3362 6.2720
Sr 2.9215 2.7036 3.1777
```

Output
total DFT energy (no corrections) = -1.553 eV/atom
total magnetic moment = 0.00 μB/f.u.
energy of formation from the pure elements = -2.95 kcal/mol of atoms